KAsSe2: relaxed, PBE.

```
KAsSe2
1.0
-3.870 -2.481 4.990
4.356 -1.302 -5.036
6.699 0.793 5.590
Se As K
2 1 1
Cartesian
0.331 0.039 0.276
3.018 0.357 2.518
1.918 -1.693 1.374
5.267 -1.297 4.169
```

Values from the calculation:
symmetry = No. 65
formation energy from raw total energies = -0.9 eV/f.u.



K2AsSe3: relaxed, PBE.

```
K2AsSe3
1.0
7.646 0.000 0.000
-3.823 6.820 0.000
0.000 0.000 16.176
As Se K
4 12 8
Cartesian
0.000 3.292 2.544
3.823 3.292 5.544
3.823 3.528 13.632
0.000 3.528 10.632
3.823 5.600 5.950
0.000 5.600 2.138
1.912 4.179 12.132
3.823 1.220 14.038
0.000 1.970 0.591
0.000 4.850 8.680
3.823 4.850 15.585
5.735 2.641 4.044
3.823 1.970 7.497
-1.912 4.179 12.132
1.912 2.641 4.044
0.000 1.220 10.226
0.000 4.818 15.027
0.000 2.002 6.939
3.823 6.071 2.631
3.823 0.749 10.719
3.823 4.818 9.238
0.000 0.749 13.545
3.823 2.002 1.150
0.000 6.071 5.457
```

Values from the calculation:
symmetry = No. 64
formation energy from raw total energies = -4.3 eV/f.u.
distance to the lowest polymorph of the same formula = 0 meV/atom



KAs2Se3: relaxed, PBE.

```
KAs2Se3
1.0
6.522 0.000 0.000
0.000 7.579 1.009
0.000 -0.947 7.587
As Se K
4 6 2
Cartesian
0.000 1.224 1.586
3.261 1.224 1.586
3.261 5.408 7.010
0.000 5.408 7.010
1.631 5.767 5.095
4.892 -0.251 7.050
1.631 3.167 1.726
4.892 0.866 3.501
1.631 6.883 1.546
4.892 3.466 6.871
1.631 1.766 5.494
4.892 4.866 3.102
```

Values from the calculation:
symmetry = No. 63
formation energy from raw total energies = -1.6 eV/f.u.
distance to the lowest polymorph of the same formula = 136 meV/atom